# 1
# Ge2SbAu | the Alexandria database | PBE-GGA | relaxed
data_Ge2SbAu
_cell_length_a 3.9405
_cell_length_b 3.9405
_cell_length_c 20.1929
_cell_angle_alpha 90.00
_cell_angle_beta 90.00
_cell_angle_gamma 120.00
_symmetry_space_group_name_H-M 'R 3 m'
_symmetry_Int_Tables_number 160
_symmetry_space_group_name_Hall 'R 3 -2"'
loop_
_atom_site_label
_atom_site_type_symbol
_atom_site_fract_x
_atom_site_fract_y
_atom_site_fract_z
_atom_site_occupancy
Ge1 Ge 0.0000 0.0000 0.0000 1
Ge2 Ge 0.0000 0.0000 0.1863 1
Sb1 Sb 0.0000 0.0000 0.4294 1
Au1 Au 0.0000 0.0000 0.5962 1
# VASP energy in eV/atom: -4.021
# Raw formation energy in meV per atom: 137.9
# Spin magnetization in μB per formula unit: 0.000
# Excess energy over the best structure of this formula in the dataset in meV/atom: 30.1

***

# 2
# MnCoNiGe | the Alexandria database | PBE-GGA | relaxed
data_MnCoNiGe
_cell_length_a 3.786
_cell_length_b 3.786
_cell_length_c 6.670
_cell_angle_alpha 90.00
_cell_angle_beta 90.00
_cell_angle_gamma 90.00
_symmetry_space_group_name_H-M 'I -4 m 2'
_symmetry_Int_Tables_number 119
_symmetry_space_group_name_Hall 'I -4 -2'
loop_
_atom_site_label
_atom_site_type_symbol
_atom_site_fract_x
_atom_site_fract_y
_atom_site_fract_z
_atom_site_occupancy
Mn1 Mn 0.000 0.000 0.000 1
Co1 Co 0.000 0.500 0.750 1
Ni1 Ni 0.000 0.500 0.250 1
Ge1 Ge 0.000 0.000 0.500 1
# VASP energy in eV/atom: -6.878
# Energy relative to the elements in eV per formula unit: -0.8
# Spin magnetization in μB per formula unit: 4.208

***

# 3
# Cu5SbBr12 | the Alexandria database | PBE-GGA | relaxed
data_Cu5SbBr12
_cell_length_a 8.946
_cell_length_b 10.506
_cell_length_c 13.812
_cell_angle_alpha 90.00
_cell_angle_beta 104.49
_cell_angle_gamma 90.00
_symmetry_space_group_name_H-M 'C 1 2/m 1'
_symmetry_Int_Tables_number 12
loop_
_symmetry_equiv_pos_as_xyz
'x,y,z'
'-x,-y,-z'
'-x,y,-z'
'x,-y,z'
'x+1/2,y+1/2,z'
'-x+1/2,-y+1/2,-z'
'-x+1/2,y+1/2,-z'
'x+1/2,-y+1/2,z'
loop_
_atom_site_label
_atom_site_type_symbol
_atom_site_fract_x
_atom_site_fract_y
_atom_site_fract_z
_atom_site_occupancy
Cu1 Cu 0.000 0.000 0.000 1
Cu2 Cu 0.000 0.164 0.500 1
Cu3 Cu 0.000 0.333 0.000 1
Sb1 Sb 0.000 0.500 0.500 1
Br1 Br 0.027 0.308 0.641 1
Br2 Br 0.130 0.500 0.110 1
Br3 Br 0.131 0.167 0.109 1
Br4 Br 0.170 0.000 0.459 1
# VASP energy in eV/atom: -2.822
# Raw formation energy in meV per atom: -339.7
# Spin magnetization in μB per formula unit: 1.469

***

# 4
# Ca2LuCd | the Alexandria database | PBE-GGA | relaxed
data_Ca2LuCd
_cell_length_a 4.074
_cell_length_b 4.074
_cell_length_c 7.546
_cell_angle_alpha 90.00
_cell_angle_beta 90.00
_cell_angle_gamma 90.00
_symmetry_space_group_name_H-M 'P 4/m m m'
_symmetry_Int_Tables_number 123
_symmetry_space_group_name_Hall '-P 4 2'
loop_
_atom_site_label
_atom_site_type_symbol
_atom_site_fract_x
_atom_site_fract_y
_atom_site_fract_z
_atom_site_occupancy
Ca1 Ca 0.000 0.000 0.232 1
Lu1 Lu 0.500 0.500 0.500 1
Cd1 Cd 0.500 0.500 0.000 1
# VASP energy in eV/atom: -2.395
# Energy relative to the elements in eV per formula unit: -0.1
# Spin magnetization in μB per formula unit: 0.000
# Excess energy over the best structure of this formula in the dataset in meV/atom: 0.0

***

# 5
# PrBrO2 | the Alexandria database | PBE-GGA | relaxed
data_PrBrO2
_cell_length_a 5.170
_cell_length_b 4.454
_cell_length_c 6.805
_cell_angle_alpha 90.00
_cell_angle_beta 106.33
_cell_angle_gamma 90.00
_symmetry_space_group_name_H-M 'P 1 21/m 1'
_symmetry_Int_Tables_number 11
loop_
_symmetry_equiv_pos_as_xyz
'x,y,z'
'-x,-y,-z'
'-x,y+1/2,-z'
'x,-y+1/2,z'
loop_
_atom_site_label
_atom_site_type_symbol
_atom_site_fract_x
_atom_site_fract_y
_atom_site_fract_z
_atom_site_occupancy
Pr1 Pr 0.195 0.250 0.345 1
Br1 Br 0.219 0.250 0.902 1
O1 O 0.249 0.750 0.546 1
O2 O 0.385 0.750 0.377 1
# VASP energy in eV/atom: -6.049
# Raw formation energy in meV per atom: -1956.9
# Spin magnetization in μB per formula unit: 0.000

***

# 6
# La6PAu2 | the Alexandria database | PBE-GGA | relaxed
data_La6PAu2
_cell_length_a 6.968
_cell_length_b 7.753
_cell_length_c 12.633
_cell_angle_alpha 90.00
_cell_angle_beta 120.90
_cell_angle_gamma 90.00
_symmetry_space_group_name_H-M 'P 1 21/c 1'
_symmetry_Int_Tables_number 14
loop_
_symmetry_equiv_pos_as_xyz
'x,y,z'
'-x,-y,-z'
'-x,y+1/2,-z+1/2'
'x,-y+1/2,z+1/2'
loop_
_atom_site_label
_atom_site_type_symbol
_atom_site_fract_x
_atom_site_fract_y
_atom_site_fract_z
_atom_site_occupancy
La1 La 0.101 0.190 0.434 1
La2 La 0.267 0.676 0.435 1
La3 La 0.396 0.034 0.249 1
P1 P 0.500 0.000 0.500 1
Au1 Au 0.173 0.112 0.738 1
# VASP energy in eV/atom: -5.287
# Energy relative to the elements in eV per formula unit: -6.1
# Spin magnetization in μB per formula unit: 0.000

***

# 7
# CdTcAg2 | the Alexandria database | PBE-GGA | relaxed
data_CdTcAg2
_cell_length_a 6.596
_cell_length_b 6.596
_cell_length_c 6.596
_cell_angle_alpha 90.00
_cell_angle_beta 90.00
_cell_angle_gamma 90.00
_symmetry_space_group_name_H-M 'F -4 3 m'
_symmetry_Int_Tables_number 216
_symmetry_space_group_name_Hall 'F -4 2 3'
loop_
_atom_site_label
_atom_site_type_symbol
_atom_site_fract_x
_atom_site_fract_y
_atom_site_fract_z
_atom_site_occupancy
Cd1 Cd 0.000 0.000 0.000 1
Tc1 Tc 0.250 0.250 0.250 1
Ag1 Ag 0.000 0.000 0.500 1
Ag2 Ag 0.250 0.250 0.750 1
# VASP energy in eV/atom: -3.737
# Energy relative to the elements in eV per formula unit: 2.0
# Spin magnetization in μB per formula unit: 2.338

***

# 8
# NaAcLaY | the Alexandria database | PBE-GGA | relaxed
data_NaAcLaY
_cell_length_a 8.431
_cell_length_b 8.431
_cell_length_c 8.431
_cell_angle_alpha 90.00
_cell_angle_beta 90.00
_cell_angle_gamma 90.00
_symmetry_space_group_name_H-M 'F -4 3 m'
_symmetry_Int_Tables_number 216
_symmetry_space_group_name_Hall 'F -4 2 3'
loop_
_atom_site_label
_atom_site_type_symbol
_atom_site_fract_x
_atom_site_fract_y
_atom_site_fract_z
_atom_site_occupancy
Na1 Na 0.000 0.000 0.000 1
Ac1 Ac 0.250 0.250 0.250 1
La1 La 0.250 0.250 0.750 1
Y1 Y 0.000 0.000 0.500 1
# VASP energy in eV/atom: -3.973
# Energy relative to the elements in eV per formula unit: 0.9
# Spin magnetization in μB per formula unit: 0.000

***

# 9
# SrZn3Pd | the Alexandria database | PBE-GGA | relaxed
data_SrZn3Pd
_cell_length_a 5.778
_cell_length_b 5.778
_cell_length_c 5.778
_cell_angle_alpha 90.00
_cell_angle_beta 90.00
_cell_angle_gamma 90.00
_symmetry_space_group_name_H-M 'P m -3 m'
_symmetry_Int_Tables_number 221
_symmetry_space_group_name_Hall '-P 4 2 3'
loop_
_atom_site_label
_atom_site_type_symbol
_atom_site_fract_x
_atom_site_fract_y
_atom_site_fract_z
_atom_site_occupancy
Sr1 Sr 0.000 0.000 0.000 1
Zn1 Zn 0.000 0.000 0.500 1
Pd1 Pd 0.500 0.500 0.500 1
# VASP energy in eV/atom: -1.007
# Energy relative to the elements in eV per formula unit: 5.7
# Spin magnetization in μB per formula unit: 0.000
# Excess energy over the best structure of this formula in the dataset in meV/atom: 1526.6

***

# 10
# SmDyHoAg | the Alexandria database | PBE-GGA | relaxed
data_SmDyHoAg
_cell_length_a 7.642
_cell_length_b 7.642
_cell_length_c 7.642
_cell_angle_alpha 90.00
_cell_angle_beta 90.00
_cell_angle_gamma 90.00
_symmetry_space_group_name_H-M 'F -4 3 m'
_symmetry_Int_Tables_number 216
_symmetry_space_group_name_Hall 'F -4 2 3'
loop_
_atom_site_label
_atom_site_type_symbol
_atom_site_fract_x
_atom_site_fract_y
_atom_site_fract_z
_atom_site_occupancy
Sm1 Sm 0.000 0.000 0.000 1
Dy1 Dy 0.000 0.000 0.500 1
Ho1 Ho 0.250 0.250 0.250 1
Ag1 Ag 0.250 0.250 0.750 1
# VASP energy in eV/atom: -4.125
# Energy relative to the elements in eV per formula unit: 0.3
# Spin magnetization in μB per formula unit: 0.000
# Excess energy over the best structure of this formula in the dataset in meV/atom: 197.7

***

# 11
# Ba2Li5Rh4 | the Alexandria database | PBE-GGA | relaxed
data_Ba2Li5Rh4
_cell_length_a 12.685
_cell_length_b 5.469
_cell_length_c 8.447
_cell_angle_alpha 90.00
_cell_angle_beta 126.82
_cell_angle_gamma 90.00
_symmetry_space_group_name_H-M 'C 1 2/m 1'
_symmetry_Int_Tables_number 12
loop_
_symmetry_equiv_pos_as_xyz
'x,y,z'
'-x,-y,-z'
'-x,y,-z'
'x,-y,z'
'x+1/2,y+1/2,z'
'-x+1/2,-y+1/2,-z'
'-x+1/2,y+1/2,-z'
'x+1/2,-y+1/2,z'
loop_
_atom_site_label
_atom_site_type_symbol
_atom_site_fract_x
_atom_site_fract_y
_atom_site_fract_z
_atom_site_occupancy
Ba1 Ba 0.229 0.000 0.299 1
Li1 Li 0.000 0.500 0.000 1
Li2 Li 0.041 0.248 0.738 1
Rh1 Rh 0.128 0.000 0.591 1
Rh2 Rh 0.232 0.500 0.028 1
# VASP energy in eV/atom: -3.926
# Energy relative to the elements in eV per formula unit: -0.4
# Spin magnetization in μB per formula unit: 0.000

***

# 12
# Cs2NdUTe6 | the Alexandria database | PBE-GGA | relaxed
data_Cs2NdUTe6
_cell_length_a 8.503
_cell_length_b 12.021
_cell_length_c 8.492
_cell_angle_alpha 90.00
_cell_angle_beta 90.00
_cell_angle_gamma 90.00
_symmetry_space_group_name_H-M 'P m m n'
_symmetry_Int_Tables_number 59
loop_
_symmetry_equiv_pos_as_xyz
'x,y,z'
'-x,-y,-z'
'-x+1/2,-y+1/2,z'
'x+1/2,y+1/2,-z'
'x+1/2,-y,-z'
'-x+1/2,y,z'
'-x,y+1/2,-z'
'x,-y+1/2,z'
loop_
_atom_site_label
_atom_site_type_symbol
_atom_site_fract_x
_atom_site_fract_y
_atom_site_fract_z
_atom_site_occupancy
Cs1 Cs 0.250 0.000 0.250 1
Nd1 Nd 0.250 0.250 0.749 1
U1 U 0.250 0.750 0.751 1
Te1 Te 0.009 0.750 0.510 1
Te2 Te 0.009 0.750 0.992 1
Te3 Te 0.250 0.509 0.751 1
# VASP energy in eV/atom: -4.552
# Raw formation energy in meV per atom: -890.2
# Spin magnetization in μB per formula unit: 0.002

***

# 13
# LaTb2S3 | the Alexandria database | PBE-GGA | relaxed
data_LaTb2S3
_cell_length_a 3.982
_cell_length_b 5.682
_cell_length_c 12.050
_cell_angle_alpha 90.00
_cell_angle_beta 90.00
_cell_angle_gamma 90.00
_symmetry_space_group_name_H-M 'I m m m'
_symmetry_Int_Tables_number 71
_symmetry_space_group_name_Hall '-I 2 2'
loop_
_atom_site_label
_atom_site_type_symbol
_atom_site_fract_x
_atom_site_fract_y
_atom_site_fract_z
_atom_site_occupancy
La1 La 0.000 0.000 0.000 1
Tb1 Tb 0.000 0.000 0.337 1
S1 S 0.000 0.500 0.000 1
S2 S 0.000 0.500 0.323 1
# VASP energy in eV/atom: -6.477
# Raw formation energy in meV per atom: -2048.3
# Spin magnetization in μB per formula unit: 0.000

***

# 14
# CaEuHfSnO6 | the Alexandria database | PBE-GGA | relaxed
data_CaEuHfSnO6
_cell_length_a 8.201
_cell_length_b 8.201
_cell_length_c 8.201
_cell_angle_alpha 90.00
_cell_angle_beta 90.00
_cell_angle_gamma 90.00
_symmetry_space_group_name_H-M 'F -4 3 m'
_symmetry_Int_Tables_number 216
_symmetry_space_group_name_Hall 'F -4 2 3'
loop_
_atom_site_label
_atom_site_type_symbol
_atom_site_fract_x
_atom_site_fract_y
_atom_site_fract_z
_atom_site_occupancy
Ca1 Ca 0.000 0.000 0.000 1
Eu1 Eu 0.000 0.000 0.500 1
Hf1 Hf 0.250 0.250 0.250 1
Sn1 Sn 0.250 0.250 0.750 1
O1 O 0.000 0.250 0.250 1
# VASP energy in eV/atom: -8.299
# Raw formation energy in meV per atom: -2700.6
# Spin magnetization in μB per formula unit: 7.001

***

# 15
# Al4Ru | the Alexandria database | PBE-GGA | relaxed
data_Al4Ru
_cell_length_a 5.742
_cell_length_b 5.742
_cell_length_c 5.742
_cell_angle_alpha 90.00
_cell_angle_beta 90.00
_cell_angle_gamma 90.00
_symmetry_space_group_name_H-M 'I m -3 m'
_symmetry_Int_Tables_number 229
_symmetry_space_group_name_Hall '-I 4 2 3'
loop_
_atom_site_label
_atom_site_type_symbol
_atom_site_fract_x
_atom_site_fract_y
_atom_site_fract_z
_atom_site_occupancy
Al1 Al 0.250 0.250 0.250 1
Ru1 Ru 0.000 0.000 0.000 1
# VASP energy in eV/atom: -5.043
# Energy relative to the elements in eV per formula unit: -1.0
# Spin magnetization in μB per formula unit: 0.000
# Excess energy over the best structure of this formula in the dataset in meV/atom: 168.4

***

# 16
# Al2InAgIr | the Alexandria database | PBE-GGA | relaxed
data_Al2InAgIr
_cell_length_a 5.027
_cell_length_b 5.027
_cell_length_c 4.978
_cell_angle_alpha 90.00
_cell_angle_beta 90.00
_cell_angle_gamma 90.00
_symmetry_space_group_name_H-M 'P 4/m m m'
_symmetry_Int_Tables_number 123
_symmetry_space_group_name_Hall '-P 4 2'
loop_
_atom_site_label
_atom_site_type_symbol
_atom_site_fract_x
_atom_site_fract_y
_atom_site_fract_z
_atom_site_occupancy
Al1 Al 0.000 0.500 0.000 1
In1 In 0.000 0.000 0.000 1
Ag1 Ag 0.500 0.500 0.500 1
Ir1 Ir 0.000 0.000 0.500 1
# VASP energy in eV/atom: -3.158
# Energy relative to the elements in eV per formula unit: 6.1
# Spin magnetization in μB per formula unit: 0.000